Record 1
Here is crystalline NdIn12Ni5 at its relaxed geometry from Alexandria via LeMat-Bulk. Energies are from PBE.

Cell: 7.936 7.936 7.936 Å, 98.81 112.10 118.08°
Element x y z (fractional)
1 Nd 0.000 0.500 0.500
2 In 0.550 0.824 0.727
3 In 0.450 0.176 0.273
4 In 0.903 0.176 0.727
5 In 0.097 0.824 0.273
6 In 0.686 0.668 0.355
7 In 0.314 0.332 0.645
8 In 0.314 0.668 0.982
9 In 0.686 0.332 0.018
10 In 0.810 0.577 0.767
11 In 0.190 0.423 0.233
12 In 0.190 0.957 0.767
13 In 0.810 0.043 0.233
14 Ni 0.675 0.675 0.000
15 Ni 0.325 0.325 0.000
16 Ni 0.500 0.125 0.625
17 Ni 0.500 0.875 0.375
18 Ni 0.000 0.000 0.000

As for the space group: Immm, No. 71. As for the uncorrected energy: -0.1401 hartree per atom. Its formation energy is -2.104 eV per formula unit.

---

Record 2
Here is crystalline Nd8InNi2 at its relaxed geometry from Alexandria via LeMat-Bulk. Energies are from PBE.

Cell: 5.534 8.211 8.211 Å, 115.32 97.71 97.71°
Element x y z (fractional)
1 Nd 0.934 0.922 0.670
2 Nd 0.934 0.670 0.922
3 Nd 0.304 0.604 0.604
4 Nd 0.500 0.751 0.249
5 Nd 0.500 0.249 0.751
6 Nd 0.696 0.396 0.396
7 Nd 0.066 0.330 0.078
8 Nd 0.066 0.078 0.330
9 In 0.500 0.000 0.000
10 Ni 0.000 0.299 0.701
11 Ni 0.000 0.701 0.299

As for the space group: C2/m, No. 12. As for the uncorrected energy: -0.1797 hartree per atom. Its formation energy is -1.356 eV per formula unit.

---

Record 3
Here is crystalline NdInNi4P2 at its relaxed geometry from Alexandria via LeMat-Bulk. Energies are from PBE.

Cell: 3.912 3.912 8.223 Å, 90.00 90.00 90.00°
Element x y z (fractional)
1 Nd 0.000 0.000 0.500
2 In 0.000 0.000 0.000
3 Ni 0.000 0.500 0.218
4 Ni 0.500 0.000 0.782
5 Ni 0.500 0.000 0.218
6 Ni 0.000 0.500 0.782
7 P 0.500 0.500 0.349
8 P 0.500 0.500 0.651

As for the space group: P4/mmm, No. 123. As for the uncorrected energy: -0.2109 hartree per atom. Its formation energy is -4.459 eV per formula unit.

---

Record 4
Here is crystalline NdInNiPd at its relaxed geometry from Alexandria via LeMat-Bulk. Energies are from PBE.

Cell: 4.821 4.821 4.821 Å, 60.00 60.00 60.00°
Element x y z (fractional)
1 Ni 0.750 0.750 0.750
2 Nd 0.000 0.000 0.000
3 Pd 0.250 0.250 0.250
4 In 0.500 0.500 0.500

As for the space group: F-43m, No. 216. As for the uncorrected energy: -0.1872 hartree per atom. Its formation energy is -1.892 eV per formula unit.

---

Record 5
Here is crystalline PmNdInNi at its relaxed geometry from Alexandria via LeMat-Bulk. Energies are from PBE.

Cell: 5.252 5.252 5.252 Å, 60.00 60.00 60.00°
Element x y z (fractional)
1 Ni 0.500 0.500 0.500
2 In 0.000 0.000 0.000
3 Nd 0.750 0.750 0.750
4 Pm 0.250 0.250 0.250

As for the space group: F-43m, No. 216. As for the uncorrected energy: -0.1743 hartree per atom. Its formation energy is -0.936 eV per formula unit.

---

Record 6
Here is crystalline PrNdInNi at its relaxed geometry from Alexandria via LeMat-Bulk. Energies are from PBE.

Cell: 5.292 5.292 5.292 Å, 60.00 60.00 60.00°
Element x y z (fractional)
1 Pr 0.500 0.500 0.500
2 Ni 0.250 0.250 0.250
3 Nd 0.000 0.000 0.000
4 In 0.750 0.750 0.750

As for the space group: F-43m, No. 216. As for the uncorrected energy: -0.1739 hartree per atom. Its formation energy is -0.857 eV per formula unit.

---

Question: Number 2 is which compound?
Answer: Nd8InNi2

---

Question: Among the records above, which one has the highest uncorrected energy?
Answer: NdIn12Ni5